Density functional theory data (PBE) for crystalline CrPRh2 at its relaxed geometry.

Fermi-level density of states	3.1	states/eV/f.u.
E	-30.8	eV per cell
mass density	9103	kg/m3

Cell lengths 3.684, 5.358, 5.358 Å; angles 29.88, 90.00, 90.00 degrees
Fractional positions:
Cr 0.000 0.000 0.000
P 0.500 0.598 0.598
Rh 0.000 0.730 0.730
Rh 0.500 0.378 0.378



Density functional theory data (PBE) for crystalline CrAuCl3 at its relaxed geometry.

Fermi-level density of states	2.0	states/eV/f.u.
polymorph energy (0 for the lowest one)	0.0	meV/atom
mass density	5302	kg/m3

Cell lengths 4.810, 4.810, 4.810 Å; angles 90.00, 90.00, 90.00 degrees
Fractional positions:
Cr 0.000 0.000 0.000
Au 0.500 0.500 0.500
Cl 0.000 0.000 0.500
Cl 0.000 0.500 0.000
Cl 0.500 0.000 0.000



Density functional theory data (PBE) for crystalline Zr2PH2 at its relaxed geometry.

Fermi-level density of states	1.7	states/eV/f.u.
polymorph energy (0 for the lowest one)	17.4	meV/atom
mass density	5504	kg/m3

Cell lengths 6.027, 5.793, 5.368 Å; angles 65.24, 60.79, 53.98 degrees
Fractional positions:
Zr 0.094 0.094 0.656
Zr 0.344 0.344 0.906
Zr 0.656 0.656 0.094
Zr 0.906 0.906 0.344
P 0.375 0.375 0.375
P 0.625 0.625 0.625
H 0.001 0.249 0.001
H 0.249 0.001 0.249
H 0.751 0.999 0.751
H 0.999 0.751 0.999



Density functional theory data (PBE) for crystalline Sm2TmAg at its relaxed geometry.

Fermi-level density of states	3.6	states/eV/f.u.
polymorph energy (0 for the lowest one)	103.1	meV/atom
mass density	8158	kg/m3

Cell lengths 10.786, 10.786, 10.786 Å; angles 19.11, 19.11, 19.11 degrees
Fractional positions:
Sm 0.243 0.243 0.243
Sm 0.757 0.757 0.757
Tm 0.000 0.000 0.000
Ag 0.500 0.500 0.500



Density functional theory data (PBE) for crystalline HgBi3Pt4 at its relaxed geometry.

Fermi-level density of states	3.8	states/eV/f.u.
E	-36.6	eV per cell
mass density	14609	kg/m3

Cell lengths 6.435, 6.435, 6.435 Å; angles 130.70, 104.74, 95.36 degrees
Fractional positions:
Hg 0.000 0.000 0.000
Bi 0.140 0.407 0.733
Bi 0.582 0.082 0.500
Bi 0.675 0.407 0.267
Pt 0.278 0.017 0.739
Pt 0.278 0.539 0.261
Pt 0.536 0.716 0.820
Pt 0.896 0.716 0.180



Density functional theory data (PBE) for crystalline Na4HgPb at its relaxed geometry.

Fermi-level density of states	2.4	states/eV/f.u.
polymorph energy (0 for the lowest one)	170.3	meV/atom
mass density	4820	kg/m3

Cell lengths 6.244, 6.244, 6.244 Å; angles 60.00, 60.00, 60.00 degrees
Fractional positions:
Na 0.124 0.124 0.124
Na 0.124 0.124 0.627
Na 0.124 0.627 0.124
Na 0.627 0.124 0.124
Hg 0.500 0.500 0.500
Pb 0.750 0.750 0.750



Density functional theory data (PBE) for crystalline YNiPt3 at its relaxed geometry.

Fermi-level density of states	7.0	states/eV/f.u.
polymorph energy (0 for the lowest one)	0.0	meV/atom
mass density	12356	kg/m3

Cell lengths 4.618, 4.618, 4.618 Å; angles 90.00, 90.00, 90.00 degrees
Fractional positions:
Y 0.000 0.000 0.000
Ni 0.500 0.500 0.500
Pt 0.000 0.500 0.500
Pt 0.500 0.000 0.500
Pt 0.500 0.500 0.000



Density functional theory data (PBE) for crystalline MgMn5 at its relaxed geometry.

Fermi-level density of states	7.6	states/eV/f.u.
E	-45.7	eV per cell
mass density	6054	kg/m3

Cell lengths 4.936, 4.936, 3.886 Å; angles 90.00, 90.00, 120.00 degrees
Fractional positions:
Mg 0.000 0.000 0.000
Mn 0.000 0.500 0.500
Mn 0.333 0.667 0.000
Mn 0.500 0.000 0.500
Mn 0.500 0.500 0.500
Mn 0.667 0.333 0.000



What is the formula in the sixth record? Na4HgPb



Look up the mass density of the second one. 5302 kg/m3



Which of these has the lowest mass density? Na4HgPb